Entry 1:
Density functional theory data (PBE-GGA) for AlTe2As after structural relaxation.

Raw formation energy ... 0.05 eV/atom
Energy above the lowest structure with this stoichiometry ... 44 kJ/mol of formula units

Cell: 5.9803 8.3283 4.1310 Å, 90.00 90.00 90.00°
Space group Cmmm (No. 65)
Inequivalent atoms, fractional coordinates:
Al  0.0000  0.0000  0.0000 x2
Te  0.0000  0.2409  0.5000 x4
As  0.0000  0.5000  0.0000 x2

***

Entry 2:
Density functional theory data (PBE-GGA) for AlTeAs2 after structural relaxation.

Raw formation energy ... 0.20 eV/atom
Energy above the lowest structure with this stoichiometry ... 102 kJ/mol of formula units

Cell: 3.6710 4.7319 10.4146 Å, 90.00 90.00 90.00°
Space group Immm (No. 71)
Inequivalent atoms, fractional coordinates:
Al  0.0000  0.0000  0.0000 x2
Te  0.0000  0.0000  0.5000 x2
As  0.0000  0.5000  0.3168 x4

***

Entry 3:
Density functional theory data (PBE-GGA) for AlTe2As after structural relaxation.

Raw formation energy ... 0.24 eV/atom
Energy above the lowest structure with this stoichiometry ... 117 kJ/mol of formula units

Cell: 3.9590 7.7235 7.8958 Å, 90.00 90.00 90.00°
Space group Cmmm (No. 65)
Inequivalent atoms, fractional coordinates:
Al  0.0000  0.0000  0.0000 x2
Te  0.0000  0.5000  0.2439 x4
As  0.0000  0.0000  0.5000 x2

***

Entry 4:
Density functional theory data (PBE-GGA) for AlTeAs2 after structural relaxation.

Raw formation energy ... 0.32 eV/atom
Energy above the lowest structure with this stoichiometry ... 148 kJ/mol of formula units

Cell: 3.4991 4.8497 4.9770 Å, 90.00 90.00 90.00°
Space group Pmmm (No. 47)
Inequivalent atoms, fractional coordinates:
Al  0.0000  0.0000  0.0000 x1
Te  0.5000  0.0000  0.5000 x1
As  0.0000  0.5000  0.5000 x1
As  0.5000  0.5000  0.0000 x1

***

Entry 5:
Density functional theory data (PBE-GGA) for AlTeAs after structural relaxation.

Raw formation energy ... 0.02 eV/atom

Cell: 3.4280 3.4280 7.6131 Å, 90.00 90.00 120.00°
Space group P3m1 (No. 156)
Inequivalent atoms, fractional coordinates:
Al  0.0000  0.0000  0.0000 x1
Te  0.6667  0.3333  0.7289 x1
As  0.3333  0.6667  0.2187 x1

***

Entry 6:
Density functional theory data (PBE-GGA) for AlTe2As after structural relaxation.

Raw formation energy ... 0.28 eV/atom
Energy above the lowest structure with this stoichiometry ... 131 kJ/mol of formula units

Cell: 3.5806 3.5806 7.2968 Å, 90.00 90.00 90.00°
Space group P4/mmm (No. 123)
Inequivalent atoms, fractional coordinates:
Al  0.0000  0.0000  0.0000 x1
Te  0.5000  0.5000  0.2454 x2
As  0.0000  0.0000  0.5000 x1

***

no.,calculated total energy (eV/atom),mass density (g/cm³)
1,-3.614,5.76
2,-3.844,5.59
3,-3.426,4.91
4,-3.724,5.99
5,-3.829,4.92
6,-3.388,6.34